# 1
# NaAlPO2 (PBE, optimized geometry)
data_NaAlPO2
_chemical_formula_sum 'Na1 Al1 P1 O2'
_symmetry_space_group_name_H-M 'P 1'
_symmetry_Int_Tables_number 1
_cell_length_a 3.701
_cell_length_b 3.701
_cell_length_c 4.997
_cell_angle_alpha 90.00
_cell_angle_beta 90.00
_cell_angle_gamma 90.00
loop_
_symmetry_equiv_pos_as_xyz
'x,y,z'
loop_
_atom_site_label
_atom_site_fract_x
_atom_site_fract_y
_atom_site_fract_z
_atom_site_occupancy
P1 0.000 0.000 0.500 1
Al1 0.000 0.000 0.000 1
O1 0.000 0.500 0.000 1
O2 0.500 0.000 0.000 1
Na1 0.500 0.500 0.500 1
# Final energy, eV per atom: -4.86
# Formation energy without anion corrections, kJ/mol of formula units: -378.3

# 2
# Na5Ti7AlP12O48 (PBE, optimized geometry)
data_Na5Ti7AlP12O48
_chemical_formula_sum 'Na5 Ti7 Al1 P12 O48'
_symmetry_space_group_name_H-M 'P 1'
_symmetry_Int_Tables_number 1
_cell_length_a 8.608
_cell_length_b 8.844
_cell_length_c 14.915
_cell_angle_alpha 106.25
_cell_angle_beta 90.08
_cell_angle_gamma 119.18
loop_
_symmetry_equiv_pos_as_xyz
'x,y,z'
loop_
_atom_site_label
_atom_site_fract_x
_atom_site_fract_y
_atom_site_fract_z
_atom_site_occupancy
Na1 0.021 0.005 0.000 1
Na2 0.253 0.502 0.750 1
Na3 0.501 0.999 0.500 1
Na4 0.737 0.499 0.260 1
Na5 0.807 0.254 0.056 1
Ti1 0.785 0.570 0.928 1
Ti2 0.467 0.936 0.825 1
Ti3 0.283 0.566 0.426 1
Ti4 0.962 0.931 0.320 1
Ti5 0.035 0.066 0.676 1
Ti6 0.716 0.434 0.573 1
Ti7 0.527 0.059 0.180 1
Al1 0.222 0.439 0.072 1
P1 0.020 0.752 0.769 1
P2 0.588 0.751 0.625 1
P3 0.517 0.752 0.984 1
P4 0.979 0.248 0.516 1
P5 0.920 0.258 0.875 1
P6 0.513 0.741 0.265 1
P7 0.482 0.251 0.732 1
P8 0.083 0.736 0.124 1
P9 0.018 0.749 0.480 1
P10 0.474 0.252 0.019 1
P11 0.410 0.248 0.376 1
P12 0.984 0.250 0.227 1
O1 0.461 0.080 0.751 1
O2 0.421 0.075 0.936 1
O3 0.939 0.742 0.861 1
O4 0.727 0.091 0.864 1
O5 0.203 0.762 0.781 1
O6 0.897 0.578 0.685 1
O7 0.475 0.736 0.539 1
O8 0.497 0.770 0.714 1
O9 0.456 0.767 0.891 1
O10 0.131 0.419 0.498 1
O11 0.809 0.263 0.530 1
O12 0.906 0.431 0.891 1
O13 0.601 0.577 0.607 1
O14 0.960 0.076 0.245 1
O15 0.686 0.732 0.972 1
O16 0.362 0.591 0.004 1
O17 0.051 0.236 0.607 1
O18 0.924 0.075 0.431 1
O19 0.008 0.235 0.786 1
O20 0.439 0.737 0.360 1
O21 0.029 0.271 0.962 1
O22 0.220 0.078 0.357 1
O23 0.700 0.756 0.277 1
O24 0.389 0.573 0.183 1
O25 0.604 0.424 0.817 1
O26 0.298 0.240 0.720 1
O27 0.777 0.921 0.641 1
O28 0.979 0.736 0.039 1
O29 0.564 0.262 0.641 1
O30 0.990 0.760 0.212 1
O31 0.073 0.923 0.565 1
O32 0.946 0.762 0.390 1
O33 0.641 0.415 0.001 1
O34 0.311 0.276 0.029 1
O35 0.041 0.923 0.750 1
O36 0.401 0.424 0.393 1
O37 0.085 0.559 0.106 1
O38 0.188 0.735 0.467 1
O39 0.866 0.578 0.499 1
O40 0.541 0.236 0.111 1
O41 0.506 0.231 0.290 1
O42 0.519 0.260 0.463 1
O43 0.107 0.420 0.313 1
O44 0.800 0.241 0.217 1
O45 0.276 0.906 0.142 1
O46 0.059 0.261 0.134 1
O47 0.583 0.937 0.065 1
O48 0.542 0.920 0.250 1
# Final energy, eV per atom: -7.59
# Formation energy without anion corrections, kJ/mol of formula units: -17915.1

# 3
# NaPaAlO4 (PBE, optimized geometry)
data_NaPaAlO4
_chemical_formula_sum 'Na2 Pa2 Al2 O8'
_symmetry_space_group_name_H-M 'P 1'
_symmetry_Int_Tables_number 1
_cell_length_a 5.958
_cell_length_b 6.509
_cell_length_c 7.034
_cell_angle_alpha 122.70
_cell_angle_beta 90.00
_cell_angle_gamma 117.23
loop_
_symmetry_equiv_pos_as_xyz
'x,y,z'
loop_
_atom_site_label
_atom_site_fract_x
_atom_site_fract_y
_atom_site_fract_z
_atom_site_occupancy
Na1 0.859 0.717 0.109 1
Na2 0.141 0.283 0.891 1
Pa1 0.500 0.000 0.500 1
Pa2 0.500 0.000 0.000 1
Al1 0.500 0.500 0.500 1
Al2 0.000 0.500 0.500 1
O1 0.742 0.483 0.677 1
O2 0.301 0.071 0.286 1
O3 0.770 0.071 0.286 1
O4 0.742 0.483 0.306 1
O5 0.258 0.517 0.694 1
O6 0.699 0.929 0.714 1
O7 0.230 0.929 0.714 1
O8 0.258 0.517 0.323 1
# Final energy, eV per atom: -7.66
# Formation energy without anion corrections, kJ/mol of formula units: -1854.9

# 4
# Na2PaAl3O8 (PBE, optimized geometry)
data_Na2PaAl3O8
_chemical_formula_sum 'Na2 Pa1 Al3 O8'
_symmetry_space_group_name_H-M 'P 1'
_symmetry_Int_Tables_number 1
_cell_length_a 6.064
_cell_length_b 6.064
_cell_length_c 6.720
_cell_angle_alpha 63.18
_cell_angle_beta 63.18
_cell_angle_gamma 60.00
loop_
_symmetry_equiv_pos_as_xyz
'x,y,z'
loop_
_atom_site_label
_atom_site_fract_x
_atom_site_fract_y
_atom_site_fract_z
_atom_site_occupancy
Na1 0.147 0.147 0.559 1
Na2 0.488 0.488 0.537 1
Pa1 0.968 0.968 0.096 1
Al1 0.496 0.991 0.018 1
Al2 0.991 0.496 0.018 1
Al3 0.496 0.496 0.018 1
O1 0.273 0.273 0.180 1
O2 0.712 0.712 0.864 1
O3 0.217 0.217 0.858 1
O4 0.707 0.217 0.858 1
O5 0.217 0.707 0.858 1
O6 0.739 0.302 0.220 1
O7 0.302 0.739 0.220 1
O8 0.739 0.739 0.220 1
# Final energy, eV per atom: -7.21
# Formation energy without anion corrections, kJ/mol of formula units: -3658.5

# 5
# Na2PaAlO6 (PBE, optimized geometry)
data_Na2PaAlO6
_chemical_formula_sum 'Na2 Pa1 Al1 O6'
_symmetry_space_group_name_H-M 'P 1'
_symmetry_Int_Tables_number 1
_cell_length_a 5.718
_cell_length_b 5.718
_cell_length_c 5.719
_cell_angle_alpha 60.00
_cell_angle_beta 60.00
_cell_angle_gamma 90.00
loop_
_symmetry_equiv_pos_as_xyz
'x,y,z'
loop_
_atom_site_label
_atom_site_fract_x
_atom_site_fract_y
_atom_site_fract_z
_atom_site_occupancy
Na1 0.250 0.750 0.500 1
Na2 0.750 0.250 0.500 1
Pa1 0.000 0.000 0.000 1
Al1 0.500 0.500 0.000 1
O1 0.265 0.735 0.000 1
O2 0.735 0.735 0.000 1
O3 0.265 0.265 0.469 1
O4 0.735 0.265 0.000 1
O5 0.265 0.265 0.000 1
O6 0.735 0.735 0.531 1
# Final energy, eV per atom: -6.91
# Formation energy without anion corrections, kJ/mol of formula units: -2265.7

# 6
# NaPaAlO6 (PBE, optimized geometry)
data_NaPaAlO6
_chemical_formula_sum 'Na1 Pa1 Al1 O6'
_symmetry_space_group_name_H-M 'P 1'
_symmetry_Int_Tables_number 1
_cell_length_a 4.616
_cell_length_b 5.453
_cell_length_c 5.453
_cell_angle_alpha 120.00
_cell_angle_beta 90.00
_cell_angle_gamma 90.00
loop_
_symmetry_equiv_pos_as_xyz
'x,y,z'
loop_
_atom_site_label
_atom_site_fract_x
_atom_site_fract_y
_atom_site_fract_z
_atom_site_occupancy
Na1 0.500 0.667 0.333 1
Pa1 0.000 0.333 0.667 1
Al1 0.500 0.000 0.000 1
O1 0.727 0.689 0.735 1
O2 0.727 0.265 0.954 1
O3 0.727 0.046 0.311 1
O4 0.273 0.265 0.311 1
O5 0.273 0.689 0.954 1
O6 0.273 0.046 0.735 1
# Final energy, eV per atom: -7.08
# Formation energy without anion corrections, kJ/mol of formula units: -1872.7

# 7
# NaPaAlO5 (PBE, optimized geometry)
data_NaPaAlO5
_chemical_formula_sum 'Na2 Pa2 Al2 O10'
_symmetry_space_group_name_H-M 'P 1'
_symmetry_Int_Tables_number 1
_cell_length_a 5.900
_cell_length_b 5.900
_cell_length_c 8.084
_cell_angle_alpha 104.88
_cell_angle_beta 104.88
_cell_angle_gamma 105.39
loop_
_symmetry_equiv_pos_as_xyz
'x,y,z'
loop_
_atom_site_label
_atom_site_fract_x
_atom_site_fract_y
_atom_site_fract_z
_atom_site_occupancy
Na1 0.337 0.663 0.250 1
Na2 0.663 0.337 0.750 1
Pa1 0.000 0.000 0.500 1
Pa2 0.000 0.000 0.000 1
Al1 0.683 0.317 0.250 1
Al2 0.317 0.683 0.750 1
O1 0.082 0.918 0.250 1
O2 0.918 0.082 0.750 1
O3 0.902 0.308 0.134 1
O4 0.098 0.692 0.866 1
O5 0.692 0.098 0.366 1
O6 0.308 0.902 0.634 1
O7 0.748 0.620 0.404 1
O8 0.252 0.380 0.596 1
O9 0.380 0.252 0.096 1
O10 0.620 0.748 0.904 1
# Final energy, eV per atom: -7.64
# Formation energy without anion corrections, kJ/mol of formula units: -2100.2

# 8
# NaAlPb2O6 (PBE, optimized geometry)
data_NaAlPb2O6
_chemical_formula_sum 'Na1 Al1 Pb2 O6'
_symmetry_space_group_name_H-M 'P 1'
_symmetry_Int_Tables_number 1
_cell_length_a 5.482
_cell_length_b 5.482
_cell_length_c 5.839
_cell_angle_alpha 62.00
_cell_angle_beta 62.00
_cell_angle_gamma 60.00
loop_
_symmetry_equiv_pos_as_xyz
'x,y,z'
loop_
_atom_site_label
_atom_site_fract_x
_atom_site_fract_y
_atom_site_fract_z
_atom_site_occupancy
Na1 0.804 0.804 0.588 1
Al1 0.322 0.322 0.035 1
Pb1 0.527 0.527 0.418 1
Pb2 0.020 0.020 0.941 1
O1 0.574 0.230 0.235 1
O2 0.230 0.961 0.235 1
O3 0.961 0.574 0.235 1
O4 0.399 0.684 0.776 1
O5 0.684 0.141 0.776 1
O6 0.141 0.399 0.776 1
# Final energy, eV per atom: -5.72
# Formation energy without anion corrections, kJ/mol of formula units: -1448.5